one:
DFT (PBE) results for CrI after structural relaxation.

Unit cell a=11.888 b=11.888 c=3.918 alpha=90.00 beta=90.00 gamma=90.00
Space group I4/m (No. 87)
Unique sites:
Cr (0.057, 0.433, 0.000) (multiplicity 8)
I (0.065, 0.261, 0.500) (multiplicity 8)

total magnetic moment = 0.00 μB per cell

=====

two:
DFT (PBE) results for CrI after structural relaxation.

Unit cell a=8.068 b=8.068 c=8.068 alpha=90.00 beta=90.00 gamma=90.00
Space group Pm-3n (No. 223)
Unique sites:
Cr (0.000, 0.250, 0.500) (multiplicity 6)
I (0.000, 0.500, 0.250) (multiplicity 6)

total magnetic moment = 30.00 μB per cell

=====

three:
DFT (PBE) results for CrI after structural relaxation.

Unit cell a=10.4492 b=10.4492 c=3.6176 alpha=90.00 beta=90.00 gamma=120.00
Space group P6_3/m (No. 176)
Unique sites:
Cr (0.0138, 0.4458, 0.2500) (multiplicity 6)
I (0.1577, 0.7580, 0.2500) (multiplicity 6)

total magnetic moment = 0.01 μB per cell

=====

Which structure is the most stable? The one labeled one.

=====

one:
DFT (PBE) results for CrI after structural relaxation.

Unit cell a=7.358 b=7.803 c=4.240 alpha=90.00 beta=90.00 gamma=90.00
Space group Pnnm (No. 58)
Unique sites:
Cr (0.036, 0.105, 0.000) (multiplicity 4)
I (0.233, 0.653, 0.000) (multiplicity 4)

total magnetic moment = 0.00 μB per cell

=====

two:
DFT (PBE) results for CrI after structural relaxation.

Unit cell a=6.557 b=6.557 c=6.557 alpha=90.00 beta=90.00 gamma=90.00
Space group F-43m (No. 216)
Unique sites:
Cr (0.000, 0.000, 0.000) (multiplicity 4)
I (0.250, 0.250, 0.750) (multiplicity 4)

total magnetic moment = 20.00 μB per cell

=====

three:
DFT (PBE) results for CrI after structural relaxation.

Unit cell a=6.080 b=6.080 c=6.080 alpha=90.00 beta=90.00 gamma=90.00
Space group Fm-3m (No. 225)
Unique sites:
Cr (0.000, 0.000, 0.000) (multiplicity 4)
I (0.000, 0.000, 0.500) (multiplicity 4)

total magnetic moment = 20.00 μB per cell

=====

Which structure is the most stable? The one labeled two.

=====

one:
DFT (PBE) results for CrI after structural relaxation.

Unit cell a=8.184 b=8.184 c=8.184 alpha=90.00 beta=90.00 gamma=90.00
Space group I-43m (No. 217)
Unique sites:
Cr (0.097, 0.097, 0.097) (multiplicity 8)
I (0.206, 0.206, 0.794) (multiplicity 8)

total magnetic moment = 4.05 μB per cell

=====

two:
DFT (PBE) results for CrI after structural relaxation.

Unit cell a=11.447 b=3.853 c=7.984 alpha=90.00 beta=90.00 gamma=90.00
Space group Pmn2_1 (No. 31)
Unique sites:
Cr (0.000, 0.182, 0.000) (multiplicity 2)
Cr (0.122, 0.650, 0.152) (multiplicity 4)
I (0.000, 0.741, 0.427) (multiplicity 2)
I (0.180, 0.616, 0.823) (multiplicity 4)

total magnetic moment = 5.92 μB per cell

=====

Which structure is the most stable? The one labeled two.